Density functional theory data (SCAN) for FeTc3 at its PBEsol-relaxed geometry.

```
FeTc3
1.0
3.7416 0.0000 0.0000
0.0000 3.7416 0.0000
0.0000 0.0000 3.7416
Tc Fe
3 1
Direct
0.0000 0.5000 0.5000
0.5000 0.0000 0.5000
0.5000 0.5000 0.0000
0.0000 0.0000 0.0000
```

Summary:
* calculated volume: 13.09 Å³ per atom
* ΔE_f: 0.066 eV per atom


Density functional theory data (SCAN) for Fe3Tc at its PBEsol-relaxed geometry.

```
Fe3Tc
1.0
3.9708 0.0000 0.0000
0.0000 4.3452 0.0000
0.0000 0.0000 5.0138
Fe Tc
6 2
Direct
0.5000 0.3201 0.0000
0.0000 0.1622 0.7503
0.5000 0.8378 0.7497
0.0000 0.6799 0.5000
0.0000 0.1622 0.2497
0.5000 0.8378 0.2503
0.0000 0.6640 0.0000
0.5000 0.3360 0.5000
```

Summary:
* calculated volume: 10.81 Å³ per atom
* ΔE_f: 0.184 eV per atom


Density functional theory data (SCAN) for FeTc3 at its PBEsol-relaxed geometry.

```
FeTc3
1.0
-2.3800 1.0584 0.4784
-1.0166 -1.3705 -2.0252
-1.5690 -5.5964 4.5750
Tc Fe
3 1
Direct
0.0000 0.0000 0.5000
0.5000 0.5000 0.2324
0.5000 0.5000 0.7676
0.0000 0.0000 0.0000
```

Summary:
* calculated volume: 12.97 Å³ per atom
* ΔE_f: 0.135 eV per atom


Density functional theory data (SCAN) for FeTc2Te at its PBEsol-relaxed geometry.

```
FeTc2Te
1.0
-1.2954 0.7314 -2.6085
-3.8493 -2.0626 1.3332
-0.1349 3.7021 2.8335
Fe Tc Te
1 2 1
Direct
0.0000 0.5000 0.0000
0.2685 0.2877 0.5369
0.7315 0.7123 0.4631
0.5000 0.0000 0.0000
```

Summary:
* calculated volume: 14.93 Å³ per atom
* formation energy from raw total energies: 0.369 eV per atom


Density functional theory data (SCAN) for FeTc2Te at its PBEsol-relaxed geometry.

```
FeTc2Te
1.0
3.1332 0.0000 0.0000
0.0000 4.2709 0.0000
0.0000 0.0000 4.4242
Fe Tc Te
1 2 1
Direct
0.0000 0.5000 0.5000
0.0000 0.0000 0.0000
0.5000 0.5000 0.0000
0.5000 0.0000 0.5000
```

Summary:
* calculated volume: 14.80 Å³ per atom
* formation energy from raw total energies: 0.471 eV per atom


Density functional theory data (SCAN) for Ti2FeTc at its PBEsol-relaxed geometry.

```
Ti2FeTc
1.0
4.2364 0.0000 0.0000
2.1182 3.6689 0.0000
2.1182 1.2230 3.4590
Ti Tc Fe
2 1 1
Direct
0.2500 0.2500 0.2500
0.7500 0.7500 0.7500
0.5000 0.5000 0.5000
0.0000 0.0000 0.0000
```

Summary:
* calculated volume: 13.44 Å³ per atom
* ΔE_f: -0.462 eV per atom


Question: Among the records above, which one has the highest calculated volume?
Answer: number 4


Question: Which formula does entry 1 have?
Answer: FeTc3


Question: Look up the calculated volume of the third one.
Answer: 12.97 Å³ per atom


Question: What is the calculated volume in the third record?
Answer: 12.97 Å³ per atom